No. 1
# PaZnAgGe

PaZnAgGe after structural relaxation (PBE, the Alexandria database).

a = 6.819 Å, b = 6.819 Å, c = 6.819 Å
α = 90.00°, β = 90.00°, γ = 90.00°
Space group F-43m (No. 216)
Inequivalent atoms, fractional coordinates:
Pa  0.000  0.000  0.000 (multiplicity 4)
Zn  0.250  0.250  0.250 (multiplicity 4)
Ag  0.000  0.000  0.500 (multiplicity 4)
Ge  0.250  0.250  0.750 (multiplicity 4)

Values from the calculation:
The calculation puts the formation enthalpy at 0 K at -42 meV/atom. Its total energy is -4.602 eV per atom.


No. 2
# Ag2GePb2

Ag2GePb2 after structural relaxation (PBE, the Alexandria database).

a = 5.146 Å, b = 5.146 Å, c = 5.591 Å
α = 90.00°, β = 90.00°, γ = 90.00°
Space group P4/mmm (No. 123)
Inequivalent atoms, fractional coordinates:
Ag  0.000  0.500  0.000 (multiplicity 2)
Ge  0.000  0.000  0.000 (multiplicity 1)
Pb  0.000  0.000  0.500 (multiplicity 1)
Pb  0.500  0.500  0.500 (multiplicity 1)

Values from the calculation:
The calculation puts the formation enthalpy at 0 K at 381 meV/atom. Its total energy is -3.167 eV per atom.


No. 3
# AgGePb2

AgGePb2 after structural relaxation (PBE, the Alexandria database).

a = 3.3521 Å, b = 3.3521 Å, c = 32.8850 Å
α = 90.00°, β = 90.00°, γ = 120.00°
Space group R-3m (No. 166, hexagonal axes)
Inequivalent atoms, fractional coordinates:
Ag  0.0000  0.0000  0.0000 (multiplicity 3)
Ge  0.0000  0.0000  0.5000 (multiplicity 3)
Pb  0.0000  0.0000  0.0890 (multiplicity 6)

Values from the calculation:
The calculation puts the formation enthalpy at 0 K at 299 meV/atom. Its total energy is -3.423 eV per atom.


No. 4
# Ag2GePb2

Ag2GePb2 after structural relaxation (PBE, the Alexandria database).

a = 8.704 Å, b = 8.704 Å, c = 3.272 Å
α = 90.00°, β = 90.00°, γ = 90.00°
Space group P4/mbm (No. 127)
Inequivalent atoms, fractional coordinates:
Ag  0.115  0.385  0.000 (multiplicity 4)
Ge  0.000  0.000  0.500 (multiplicity 2)
Pb  0.182  0.682  0.500 (multiplicity 4)

Values from the calculation:
The calculation puts the formation enthalpy at 0 K at 292 meV/atom. Its total energy is -3.255 eV per atom.


No. 5
# Ag2GePb2

Ag2GePb2 after structural relaxation (PBE, the Alexandria database).

a = 3.815 Å, b = 3.815 Å, c = 17.318 Å
α = 90.00°, β = 90.00°, γ = 90.00°
Space group I4/mmm (No. 139)
Inequivalent atoms, fractional coordinates:
Ag  0.000  0.500  0.250 (multiplicity 4)
Ge  0.000  0.000  0.000 (multiplicity 2)
Pb  0.000  0.000  0.398 (multiplicity 4)

Values from the calculation:
The calculation puts the formation enthalpy at 0 K at 216 meV/atom. Its total energy is -3.332 eV per atom.


No. 6
# Ag3GePb

Ag3GePb after structural relaxation (PBE, the Alexandria database).

a = 4.961 Å, b = 4.961 Å, c = 4.961 Å
α = 90.00°, β = 90.00°, γ = 90.00°
Space group Pm-3m (No. 221)
Inequivalent atoms, fractional coordinates:
Ag  0.000  0.000  0.500 (multiplicity 3)
Ge  0.000  0.000  0.000 (multiplicity 1)
Pb  0.500  0.500  0.500 (multiplicity 1)

Values from the calculation:
The calculation puts the formation enthalpy at 0 K at 318 meV/atom. Its total energy is -3.058 eV per atom.


No. 7
# AgGePb2

AgGePb2 after structural relaxation (PBE, the Alexandria database).

a = 4.827 Å, b = 4.827 Å, c = 4.316 Å
α = 90.00°, β = 90.00°, γ = 90.00°
Space group P4/mmm (No. 123)
Inequivalent atoms, fractional coordinates:
Ag  0.000  0.000  0.000 (multiplicity 1)
Ge  0.500  0.500  0.000 (multiplicity 1)
Pb  0.000  0.500  0.500 (multiplicity 2)

Values from the calculation:
The calculation puts the formation enthalpy at 0 K at 187 meV/atom. Its total energy is -3.534 eV per atom.


No. 8
# Ag3GePb

Ag3GePb after structural relaxation (PBE, the Alexandria database).

a = 5.288 Å, b = 5.288 Å, c = 5.288 Å
α = 90.00°, β = 90.00°, γ = 90.00°
Space group Pm-3m (No. 221)
Inequivalent atoms, fractional coordinates:
Ag  0.000  0.000  0.500 (multiplicity 3)
Ge  0.500  0.500  0.500 (multiplicity 1)
Pb  0.000  0.000  0.000 (multiplicity 1)

Values from the calculation:
The calculation puts the formation enthalpy at 0 K at 890 meV/atom. Its total energy is -2.486 eV per atom.


No. 9
# AgGe2Pb

AgGe2Pb after structural relaxation (PBE, the Alexandria database).

a = 7.089 Å, b = 7.089 Å, c = 7.089 Å
α = 90.00°, β = 90.00°, γ = 90.00°
Space group Fm-3m (No. 225)
Inequivalent atoms, fractional coordinates:
Ag  0.000  0.000  0.000 (multiplicity 4)
Ge  0.250  0.250  0.250 (multiplicity 8)
Pb  0.000  0.000  0.500 (multiplicity 4)

Values from the calculation:
The calculation puts the formation enthalpy at 0 K at 337 meV/atom. Its total energy is -3.612 eV per atom.


No. 10
# AgGePb2

AgGePb2 after structural relaxation (PBE, the Alexandria database).

a = 7.386 Å, b = 7.386 Å, c = 7.386 Å
α = 90.00°, β = 90.00°, γ = 90.00°
Space group Fm-3m (No. 225)
Inequivalent atoms, fractional coordinates:
Ag  0.000  0.000  0.000 (multiplicity 4)
Ge  0.000  0.000  0.500 (multiplicity 4)
Pb  0.250  0.250  0.250 (multiplicity 8)

Values from the calculation:
The calculation puts the formation enthalpy at 0 K at 201 meV/atom. Its total energy is -3.520 eV per atom.


No. 11
# AgGePb2

AgGePb2 after structural relaxation (PBE, the Alexandria database).

a = 3.453 Å, b = 3.453 Å, c = 8.430 Å
α = 90.00°, β = 90.00°, γ = 90.00°
Space group P4/mmm (No. 123)
Inequivalent atoms, fractional coordinates:
Ag  0.000  0.000  0.000 (multiplicity 1)
Ge  0.000  0.000  0.500 (multiplicity 1)
Pb  0.500  0.500  0.242 (multiplicity 2)

Values from the calculation:
The calculation puts the formation enthalpy at 0 K at 162 meV/atom. Its total energy is -3.559 eV per atom.


No. 12
# AgGe2Pb

AgGe2Pb after structural relaxation (PBE, the Alexandria database).

a = 4.360 Å, b = 4.360 Å, c = 19.742 Å
α = 90.00°, β = 90.00°, γ = 90.00°
Space group I-42d (No. 122)
Inequivalent atoms, fractional coordinates:
Ag  0.000  0.000  0.000 (multiplicity 4)
Ge  0.177  0.250  0.125 (multiplicity 8)
Pb  0.000  0.000  0.500 (multiplicity 4)

Values from the calculation:
The calculation puts the formation enthalpy at 0 K at 259 meV/atom. Its total energy is -3.689 eV per atom.


No. 13
# Ag2GePb2

Ag2GePb2 after structural relaxation (PBE, the Alexandria database).

a = 7.112 Å, b = 7.112 Å, c = 4.790 Å
α = 90.00°, β = 90.00°, γ = 90.00°
Space group P4/mbm (No. 127)
Inequivalent atoms, fractional coordinates:
Ag  0.141  0.359  0.000 (multiplicity 4)
Ge  0.000  0.000  0.000 (multiplicity 2)
Pb  0.172  0.672  0.500 (multiplicity 4)

Values from the calculation:
The calculation puts the formation enthalpy at 0 K at 167 meV/atom. Its total energy is -3.380 eV per atom.


No. 14
# AgGePb2

AgGePb2 after structural relaxation (PBE, the Alexandria database).

a = 6.753 Å, b = 6.753 Å, c = 11.948 Å
α = 90.00°, β = 90.00°, γ = 90.00°
Space group I-42d (No. 122)
Inequivalent atoms, fractional coordinates:
Ag  0.000  0.000  0.000 (multiplicity 4)
Ge  0.000  0.000  0.500 (multiplicity 4)
Pb  0.241  0.250  0.625 (multiplicity 8)

Values from the calculation:
The calculation puts the formation enthalpy at 0 K at 378 meV/atom. Its total energy is -3.344 eV per atom.


No. 15
# Ag4GePb

Ag4GePb after structural relaxation (PBE, the Alexandria database).

a = 7.951 Å, b = 7.951 Å, c = 7.951 Å
α = 90.00°, β = 90.00°, γ = 90.00°
Space group F-43m (No. 216)
Inequivalent atoms, fractional coordinates:
Ag  0.125  0.125  0.125 (multiplicity 16)
Ge  0.000  0.000  0.500 (multiplicity 4)
Pb  0.250  0.250  0.750 (multiplicity 4)

Values from the calculation:
The calculation puts the formation enthalpy at 0 K at 164 meV/atom. Its total energy is -3.125 eV per atom.


No. 16
# AgGe2PbS6

AgGe2PbS6 after structural relaxation (PBE, the Alexandria database).

a = 12.758 Å, b = 12.168 Å, c = 6.594 Å
α = 90.00°, β = 106.61°, γ = 90.00°
Space group C2/c (No. 15)
Inequivalent atoms, fractional coordinates:
Ag  0.000  0.210  0.250 (multiplicity 4)
Ge  0.203  0.074  0.742 (multiplicity 8)
Pb  0.000  0.375  0.750 (multiplicity 4)
S  0.115  0.424  0.185 (multiplicity 8)
S  0.135  0.071  0.026 (multiplicity 8)
S  0.141  0.234  0.588 (multiplicity 8)

Values from the calculation:
Its total energy is -4.277 eV per atom.


No. 17
# AgGePbS4

AgGePbS4 after structural relaxation (PBE, the Alexandria database).

a = 6.631 Å, b = 6.900 Å, c = 7.682 Å
α = 90.00°, β = 106.56°, γ = 90.00°
Space group P2_1/m (No. 11)
Inequivalent atoms, fractional coordinates:
Ag  0.245  0.250  0.083 (multiplicity 2)
Ge  0.232  0.750  0.815 (multiplicity 2)
Pb  0.220  0.250  0.557 (multiplicity 2)
S  0.002  0.503  0.763 (multiplicity 4)
S  0.432  0.750  0.627 (multiplicity 2)
S  0.477  0.750  0.079 (multiplicity 2)

Values from the calculation:
Its total energy is -4.103 eV per atom.


No. 18
# Ag2GePbSe4

Ag2GePbSe4 after structural relaxation (PBE, the Alexandria database).

a = 8.438 Å, b = 9.618 Å, c = 11.249 Å
α = 90.00°, β = 90.00°, γ = 90.00°
Space group Fmm2 (No. 42)
Inequivalent atoms, fractional coordinates:
Ag  0.250  0.250  0.000 (multiplicity 8)
Ge  0.000  0.000  0.240 (multiplicity 4)
Pb  0.000  0.000  0.774 (multiplicity 4)
Se  0.000  0.205  0.358 (multiplicity 8)
Se  0.228  0.000  0.107 (multiplicity 8)

Values from the calculation:
Its total energy is -3.757 eV per atom.


No. 19
# AgGe2PbSe

AgGe2PbSe after structural relaxation (PBE, the Alexandria database).

a = 4.879 Å, b = 4.879 Å, c = 5.835 Å
α = 90.00°, β = 90.00°, γ = 90.00°
Space group P4/mmm (No. 123)
Inequivalent atoms, fractional coordinates:
Ag  0.000  0.000  0.000 (multiplicity 1)
Ge  0.000  0.500  0.000 (multiplicity 2)
Pb  0.000  0.000  0.500 (multiplicity 1)
Se  0.500  0.500  0.500 (multiplicity 1)

Values from the calculation:
Its total energy is -3.359 eV per atom.


No. 20
# AgGePbSe4

AgGePbSe4 after structural relaxation (PBE, the Alexandria database).

a = 6.944 Å, b = 6.490 Å, c = 9.192 Å
α = 90.00°, β = 102.47°, γ = 90.00°
Space group P2_1/m (No. 11)
Inequivalent atoms, fractional coordinates:
Ag  0.172  0.250  0.082 (multiplicity 2)
Ge  0.260  0.750  0.782 (multiplicity 2)
Pb  0.218  0.250  0.481 (multiplicity 2)
Se  0.014  0.017  0.770 (multiplicity 4)
Se  0.369  0.750  0.556 (multiplicity 2)
Se  0.495  0.250  0.991 (multiplicity 2)

Values from the calculation:
Its total energy is -3.793 eV per atom.